Material: K3Li2FeF9
Method: DFT, PBE+U
State: optimized geometry

a b c (Å): 5.806 5.806 7.235
angles (deg): 90.00 90.00 120.00
Positions (direct):
1 K 0.000 0.000 0.000
2 K 0.333 0.667 0.697
3 K 0.667 0.333 0.303
4 Li 0.333 0.667 0.108
5 Li 0.667 0.333 0.892
6 Fe 0.000 0.000 0.500
7 F 0.000 0.500 0.000
8 F 0.150 0.300 0.355
9 F 0.150 0.850 0.355
10 F 0.300 0.150 0.645
11 F 0.500 0.000 0.000
12 F 0.500 0.500 0.000
13 F 0.700 0.850 0.355
14 F 0.850 0.150 0.645
15 F 0.850 0.700 0.645

Properties
**Total DFT energy (no corrections)**: -4.53 eV per atom
**Crystal system**: trigonal